The following is a DFT calculation (PBE-GGA) of an optimized crystal structure of La2DyTl.

Unit cell a=4.768 b=4.573 c=12.004 alpha=90.00 beta=101.54 gamma=90.00
Fractional positions:
La1 0.425 0.750 0.852
La2 0.944 0.250 0.888
La3 0.056 0.750 0.112
La4 0.575 0.250 0.148
Tl1 0.829 0.750 0.660
Tl2 0.171 0.250 0.340
Dy1 0.300 0.250 0.602
Dy2 0.700 0.750 0.398

Properties
The calculation puts the volume at 32.05 Å³/atom. Its space-group type is No. 11. For the energy above the most stable polymorph in this dataset, the calculation gives 100 meV/atom. Its formation energy is -0.44 eV per formula unit.


The following is a DFT calculation (PBE-GGA) of an optimized crystal structure of Y2ScNb.

Unit cell a=5.281 b=5.281 c=5.281 alpha=60.00 beta=60.00 gamma=60.00
Fractional positions:
Nb1 0.500 0.500 0.500
Y1 0.750 0.750 0.750
Y2 0.250 0.250 0.250
Sc1 0.000 0.000 0.000

Properties
The calculation puts the volume at 26.04 Å³/atom. Its space-group type is No. 225. For the energy above the most stable polymorph in this dataset, the calculation gives 0 meV/atom. Its formation energy is 1.19 eV per formula unit.


The following is a DFT calculation (PBE-GGA) of an optimized crystal structure of Cs2KHgSb.

Unit cell a=7.538 b=7.538 c=6.782 alpha=90.00 beta=90.00 gamma=90.00
Fractional positions:
Sb1 0.000 0.000 0.000
Cs1 0.500 0.000 0.000
Cs2 0.000 0.500 0.000
K1 0.000 0.000 0.500
Hg1 0.500 0.500 0.500

Properties
The calculation puts the volume at 77.07 Å³/atom. Its space-group type is No. 123. For the energy above the most stable polymorph in this dataset, the calculation gives 0 meV/atom. The calculation puts the formation energy without anion corrections at -197 meV per atom.


The following is a DFT calculation (PBE-GGA) of an optimized crystal structure of LaTlCdIr2.

Unit cell a=5.011 b=6.228 c=5.011 alpha=90.00 beta=90.00 gamma=90.00
Fractional positions:
La1 0.000 0.000 0.000
Cd1 0.500 0.500 0.500
Ir1 0.500 0.000 0.000
Ir2 0.000 0.000 0.500
Tl1 0.000 0.500 0.000

Properties
The calculation puts the volume at 31.28 Å³/atom. Its space-group type is No. 123. Its formation energy is 5.98 eV per formula unit.


The following is a DFT calculation (PBE-GGA) of an optimized crystal structure of PuBeSb2.

Unit cell a=3.367 b=3.367 c=10.130 alpha=80.43 beta=80.43 gamma=60.00
Fractional positions:
Be1 0.500 0.500 0.500
Sb1 0.106 0.106 0.681
Sb2 0.894 0.894 0.319
Pu1 0.000 0.000 0.000

Properties
The calculation puts the volume at 24.40 Å³/atom. Its space-group type is No. 166. The calculation puts the formation energy without anion corrections at 312 meV per atom.


The following is a DFT calculation (PBE-GGA) of an optimized crystal structure of Hf2ZrPd9.

Unit cell a=4.018 b=4.018 c=12.061 alpha=90.00 beta=90.00 gamma=90.00
Fractional positions:
Pd1 0.000 0.500 0.832
Pd2 0.500 0.500 0.666
Pd3 0.000 0.500 0.500
Pd4 0.000 0.500 0.168
Pd5 0.500 0.500 0.000
Pd6 0.500 0.000 0.832
Pd7 0.500 0.500 0.334
Pd8 0.500 0.000 0.168
Pd9 0.500 0.000 0.500
Hf1 0.000 0.000 0.666
Hf2 0.000 0.000 0.334
Zr1 0.000 0.000 0.000

Properties
The calculation puts the volume at 16.23 Å³/atom. Its space-group type is No. 123. Its formation energy is -9.99 eV per formula unit.


The following is a DFT calculation (PBE-GGA) of an optimized crystal structure of Cs2NpBe2S4.

Unit cell a=3.791 b=8.312 c=7.673 alpha=109.18 beta=104.30 gamma=90.00
Fractional positions:
S1 0.205 0.124 0.410
S2 0.539 0.781 0.078
S3 0.461 0.219 0.922
S4 0.795 0.876 0.590
Np1 0.000 0.000 0.000
Be1 0.673 0.972 0.346
Be2 0.327 0.028 0.654
Cs1 0.865 0.456 0.730
Cs2 0.135 0.544 0.270

Properties
The calculation puts the volume at 24.49 Å³/atom. Its space-group type is No. 12. The calculation puts the formation energy without anion corrections at -1010 meV per atom.


The following is a DFT calculation (PBE-GGA) of an optimized crystal structure of Tm2ZnNi3.

Unit cell a=5.202 b=5.202 c=5.035 alpha=90.05 beta=121.10 gamma=119.95
Fractional positions:
Zn1 0.000 0.000 0.000
Ni1 0.500 0.500 0.500
Ni2 0.500 0.000 0.500
Ni3 0.000 0.000 0.500
Tm1 0.252 0.626 0.877
Tm2 0.748 0.374 0.123

Properties
The calculation puts the volume at 15.79 Å³/atom. Its space-group type is No. 166. For the energy above the most stable polymorph in this dataset, the calculation gives 0 meV/atom. Its formation energy is -2.68 eV per formula unit.


The following is a DFT calculation (PBE-GGA) of an optimized crystal structure of Al2Ni3.

Unit cell a=4.556 b=5.790 c=6.135 alpha=118.16 beta=111.80 gamma=90.00
Fractional positions:
Al1 0.328 0.077 0.656
Al2 0.828 0.579 0.656
Al3 0.172 0.421 0.344
Al4 0.672 0.923 0.344
Ni1 0.586 0.435 0.171
Ni2 0.086 0.736 0.171
Ni3 0.914 0.264 0.829
Ni4 0.750 0.000 0.000
Ni5 0.414 0.565 0.829
Ni6 0.250 0.000 0.000

Properties
The calculation puts the volume at 12.94 Å³/atom. Its space-group type is No. 72. For the energy above the most stable polymorph in this dataset, the calculation gives 200 meV/atom. Its formation energy is -1.61 eV per formula unit.


The following is a DFT calculation (PBE-GGA) of an optimized crystal structure of CsAgPb2Cl7.

Unit cell a=5.546 b=5.546 c=12.228 alpha=103.11 beta=103.11 gamma=90.00
Fractional positions:
Cl1 0.607 0.107 0.215
Cl2 0.755 0.755 0.510
Cl3 0.000 0.000 0.000
Cl4 0.245 0.245 0.490
Cl5 0.126 0.626 0.252
Cl6 0.374 0.874 0.748
Cl7 0.893 0.393 0.785
Ag1 0.250 0.750 0.500
Pb1 0.875 0.875 0.750
Pb2 0.125 0.125 0.250
Cs1 0.500 0.500 0.000

Properties
The calculation puts the volume at 32.38 Å³/atom. Its space-group type is No. 119. The calculation puts the formation energy without anion corrections at -1064 meV per atom.


The following is a DFT calculation (PBE-GGA) of an optimized crystal structure of AcSm2Ge.

Unit cell a=4.877 b=4.923 c=4.923 alpha=90.00 beta=90.00 gamma=90.00
Fractional positions:
Ge1 0.500 0.000 0.000
Sm1 0.000 0.500 0.000
Sm2 0.000 0.000 0.500
Ac1 0.500 0.500 0.500

Properties
The calculation puts the volume at 29.55 Å³/atom. Its space-group type is No. 123. For the energy above the most stable polymorph in this dataset, the calculation gives 51 meV/atom. Its formation energy is -1.01 eV per formula unit.


The following is a DFT calculation (PBE-GGA) of an optimized crystal structure of PRuRhCl2.

Unit cell a=4.937 b=4.937 c=4.432 alpha=90.00 beta=90.00 gamma=90.00
Fractional positions:
P1 0.000 0.000 0.500
Cl1 0.500 0.000 0.000
Cl2 0.000 0.500 0.000
Ru1 0.500 0.500 0.500
Rh1 0.000 0.000 0.000

Properties
The calculation puts the volume at 21.60 Å³/atom. Its space-group type is No. 123. For the energy above the most stable polymorph in this dataset, the calculation gives 78 meV/atom. The calculation puts the formation energy without anion corrections at 826 meV per atom.